A plane-wave DFT calculation with GGA-PBE was carried out for a geometry-optimized Cs2SmNp3O12 structure.

Summary:
Fermi-level density of states: 10.49 states/eV/f.u.
energy: -8.572 eV per atom
space group: No. 166
uncorrected formation energy: -2.7531 eV/atom

a = 7.874 Å, b = 7.874 Å, c = 7.874 Å
α = 61.30°, β = 61.30°, γ = 61.30°
Fractional coordinates of all 18 atoms:
Cs: 0.120 0.120 0.120
Cs: 0.880 0.880 0.880
Sm: 0.500 0.500 0.500
Np: 0.000 0.500 0.500
Np: 0.500 0.000 0.500
Np: 0.500 0.500 0.000
O: 0.152 0.574 0.574
O: 0.192 0.192 0.572
O: 0.192 0.572 0.192
O: 0.426 0.426 0.848
O: 0.426 0.848 0.426
O: 0.428 0.808 0.808
O: 0.572 0.192 0.192
O: 0.574 0.152 0.574
O: 0.574 0.574 0.152
O: 0.808 0.428 0.808
O: 0.808 0.808 0.428
O: 0.848 0.426 0.426